Ac2GeAs3Pd4 | PBE | optimized geometry

Unit cell a=4.478 b=4.478 c=10.358 alpha=90.00 beta=90.00 gamma=90.00
Element x y z (fractional)
Ac 0.000 0.500 0.246
Ac 0.500 0.000 0.754
Ge 0.000 0.000 0.500
As 0.000 0.500 0.867
As 0.500 0.000 0.133
As 0.500 0.500 0.500
Pd 0.000 0.000 0.000
Pd 0.000 0.500 0.623
Pd 0.500 0.000 0.377
Pd 0.500 0.500 0.000

ΔE_f (eV/atom): -0.91
Calculated total energy (eV/atom): -5.665
SG: P-4m2 (115)